Entry 1:
The following is a DFT calculation (PBE-GGA) of a geometry-optimized LiIr2 structure.

It has space group I4_1/amd (No. 141, origin choice 2), with a = 2.640 Å, b = 2.640 Å, c = 24.844 Å, α = 90.00°, β = 90.00° and γ = 90.00°. Symmetry generates all atoms from Li at (0.000, 0.250, 0.375) and Ir at (0.000, 0.250, 0.795).

***

Entry 2:
The following is a DFT calculation (PBE-GGA) of a geometry-optimized LiIr3 structure.

It has space group I4/mmm (No. 139), with a = 3.788 Å, b = 3.788 Å, c = 7.659 Å, α = 90.00°, β = 90.00° and γ = 90.00°. Symmetry generates all atoms from Li at (0.000, 0.000, 0.000), Ir at (0.000, 0.000, 0.500) and Ir at (0.000, 0.500, 0.250).

***

Entry 3:
The following is a DFT calculation (PBE-GGA) of a geometry-optimized Li2Ir structure.

It has space group Immm (No. 71), with a = 2.462 Å, b = 4.228 Å, c = 7.890 Å, α = 90.00°, β = 90.00° and γ = 90.00°. Symmetry generates all atoms from Li at (0.000, 0.000, 0.162) and Ir at (0.000, 0.000, 0.500).

***

Entry 4:
The following is a DFT calculation (PBE-GGA) of a geometry-optimized Li6Ir structure.

It has space group Im-3m (No. 229), with a = 5.823 Å, b = 5.823 Å, c = 5.823 Å, α = 90.00°, β = 90.00° and γ = 90.00°. Symmetry generates all atoms from Li at (0.000, 0.250, 0.500) and Ir at (0.000, 0.000, 0.000).

***

Entry 5:
The following is a DFT calculation (PBE-GGA) of a geometry-optimized LiIr3 structure.

It has space group R-3m (No. 166, hexagonal axes), with a = 2.7203 Å, b = 2.7203 Å, c = 26.8618 Å, α = 90.00°, β = 90.00° and γ = 120.00°. Symmetry generates all atoms from Li at (0.0000, 0.0000, 0.0000), Ir at (0.0000, 0.0000, 0.2495) and Ir at (0.0000, 0.0000, 0.5000).

***

Entry 6:
The following is a DFT calculation (PBE-GGA) of a geometry-optimized Li2Ir structure.

It has space group C2/m (No. 12), with a = 10.025 Å, b = 2.576 Å, c = 6.713 Å, α = 90.00°, β = 104.99° and γ = 90.00°. Symmetry generates all atoms from Li at (0.119, 0.000, 0.019), Li at (0.200, 0.000, 0.640) and Ir at (0.025, 0.500, 0.318).

***

Entry 7:
The following is a DFT calculation (PBE-GGA) of a geometry-optimized Li2Ir structure.

It has space group I4/mmm (No. 139), with a = 2.648 Å, b = 2.648 Å, c = 12.918 Å, α = 90.00°, β = 90.00° and γ = 90.00°. Symmetry generates all atoms from Li at (0.000, 0.000, 0.147) and Ir at (0.000, 0.000, 0.500).

***

Entry 8:
The following is a DFT calculation (PBE-GGA) of a geometry-optimized LiIr3 structure.

It has space group P4/mmm (No. 123), with a = 2.747 Å, b = 2.747 Å, c = 7.380 Å, α = 90.00°, β = 90.00° and γ = 90.00°. Symmetry generates all atoms from Li at (0.000, 0.000, 0.000), Ir at (0.000, 0.000, 0.500) and Ir at (0.500, 0.500, 0.247).

***

Entry 9:
The following is a DFT calculation (PBE-GGA) of a geometry-optimized LiIr4 structure.

It has space group Im-3m (No. 229), with a = 5.338 Å, b = 5.338 Å, c = 5.338 Å, α = 90.00°, β = 90.00° and γ = 90.00°. Symmetry generates all atoms from Li at (0.000, 0.000, 0.000) and Ir at (0.250, 0.250, 0.250).

For the offset from the most stable computed form, the calculation gives 974 meV/atom.

***

Entry 10:
The following is a DFT calculation (PBE-GGA) of a geometry-optimized Li2Ir structure.

It has space group I4_1/amd (No. 141, origin choice 2), with a = 4.439 Å, b = 4.439 Å, c = 16.297 Å, α = 90.00°, β = 90.00° and γ = 90.00°. Symmetry generates all atoms from Li at (0.000, 0.250, 0.124), Li at (0.000, 0.250, 0.787) and Ir at (0.000, 0.250, 0.291).

***

Entry 11:
The following is a DFT calculation (PBE-GGA) of a geometry-optimized Li3Ir structure.

It has space group Pnma (No. 62), with a = 4.647 Å, b = 8.909 Å, c = 5.493 Å, α = 90.00°, β = 90.00° and γ = 90.00°. Symmetry generates all atoms from Li at (0.081, 0.250, 0.148), Li at (0.233, 0.503, 0.395) and Ir at (0.092, 0.250, 0.665).

***

Entry 12:
The following is a DFT calculation (PBE-GGA) of a geometry-optimized LiIr structure.

It has space group P6_3/mmc (No. 194), with a = 7.7315 Å, b = 7.7315 Å, c = 3.9566 Å, α = 90.00°, β = 90.00° and γ = 120.00°. Symmetry generates all atoms from Li at (0.1750, 0.3500, 0.2500) and Ir at (0.1138, 0.5569, 0.7500).

***

Entry 13:
The following is a DFT calculation (PBE-GGA) of a geometry-optimized LiIr structure.

It has space group Cmme (No. 67), with a = 2.752 Å, b = 4.616 Å, c = 9.422 Å, α = 90.00°, β = 90.00° and γ = 90.00°. Symmetry generates all atoms from Li at (0.000, 0.250, 0.144) and Ir at (0.000, 0.250, 0.626).

***

Entry 14:
The following is a DFT calculation (PBE-GGA) of a geometry-optimized LiIr4 structure.

It has space group I4/mmm (No. 139), with a = 3.851 Å, b = 3.851 Å, c = 11.530 Å, α = 90.00°, β = 90.00° and γ = 90.00°. Symmetry generates all atoms from Li at (0.000, 0.000, 0.000), Ir at (0.000, 0.000, 0.399) and Ir at (0.000, 0.500, 0.250).

For the offset from the most stable computed form, the calculation gives 409 meV/atom.

***

Entry 15:
The following is a DFT calculation (PBE-GGA) of a geometry-optimized LiLuIr4 structure.

It has space group F-43m (No. 216), with a = 7.410 Å, b = 7.410 Å, c = 7.410 Å, α = 90.00°, β = 90.00° and γ = 90.00°. Symmetry generates all atoms from Li at (0.000, 0.000, 0.000), Lu at (0.250, 0.250, 0.250) and Ir at (0.125, 0.125, 0.625).

***

Entry 16:
The following is a DFT calculation (PBE-GGA) of a geometry-optimized LiLuIr structure.

It has space group I4mm (No. 107), with a = 3.419 Å, b = 3.419 Å, c = 9.044 Å, α = 90.00°, β = 90.00° and γ = 90.00°. Symmetry generates all atoms from Li at (0.000, 0.000, 0.000), Lu at (0.000, 0.000, 0.299) and Ir at (0.000, 0.000, 0.636).

***

Entry 17:
The following is a DFT calculation (PBE-GGA) of a geometry-optimized LiLuIr2 structure.

It has space group P4/mmm (No. 123), with a = 4.004 Å, b = 4.004 Å, c = 4.005 Å, α = 90.00°, β = 90.00° and γ = 90.00°. Symmetry generates all atoms from Li at (0.000, 0.000, 0.000), Lu at (0.500, 0.500, 0.000) and Ir at (0.000, 0.500, 0.500).

***

Entry 18:
The following is a DFT calculation (PBE-GGA) of a geometry-optimized LiLuMnIr structure.

It has space group F-43m (No. 216), with a = 6.474 Å, b = 6.474 Å, c = 6.474 Å, α = 90.00°, β = 90.00° and γ = 90.00°. Symmetry generates all atoms from Li at (0.000, 0.000, 0.000), Lu at (0.250, 0.250, 0.250), Mn at (0.250, 0.250, 0.750) and Ir at (0.000, 0.000, 0.500).

***

Entry 19:
The following is a DFT calculation (PBE-GGA) of a geometry-optimized LiLuNbIr structure.

It has space group F-43m (No. 216), with a = 6.565 Å, b = 6.565 Å, c = 6.565 Å, α = 90.00°, β = 90.00° and γ = 90.00°. Symmetry generates all atoms from Li at (0.000, 0.000, 0.000), Lu at (0.250, 0.250, 0.250), Nb at (0.250, 0.250, 0.750) and Ir at (0.000, 0.000, 0.500).

***

Entry 20:
The following is a DFT calculation (PBE-GGA) of a geometry-optimized LiLuIrPb structure.

It has space group F-43m (No. 216), with a = 6.725 Å, b = 6.725 Å, c = 6.725 Å, α = 90.00°, β = 90.00° and γ = 90.00°. Symmetry generates all atoms from Li at (0.000, 0.000, 0.000), Lu at (0.250, 0.250, 0.750), Ir at (0.000, 0.000, 0.500) and Pb at (0.250, 0.250, 0.250).

***

So what do the calculations give for ΔH_f (0 K)? Going down the list: 239; -71; -170; 753; 19; -82; -47; 42; 916; -149; -135; -107; 114; 350; -466; -425; -456; -319; -320; -477 meV per atom.